Below is Be2ZnTe2 after structural relaxation, with properties calculated at the PBE level.

## Properties
D(E_F): 0.338 states/eV per atom
symmetry: I4/mmm, No. 139
energy relative to the elements, uncorrected: 161 kJ/mol of formula units

Cell: 5.764 5.764 5.764 Å, 127.08 127.08 78.11°
Fractional coordinates of all 5 atoms:
Te 0.250 0.750 0.500
Te 0.750 0.250 0.500
Be 0.263 0.263 0.000
Be 0.737 0.737 0.000
Zn 0.000 0.000 0.000